A relaxed Ac3ZnRu2 crystal, computed with GGA-PBE.

Properties
VASP energy: -5.53 eV/atom
Formation enthalpy at 0 K: -167 meV per atom

abc: 4.3560 12.3333 12.2534
angles: 90.00 90.00 90.00
Fractional positions:
Ru: 0.2500 0.6783 0.4673
Ru: 0.7500 0.9815 0.6814
Ru: 0.7500 0.3217 0.5327
Ru: 0.2500 0.8217 0.9673
Ru: 0.2500 0.4815 0.8186
Ru: 0.2500 0.0185 0.3186
Ru: 0.7500 0.1783 0.0327
Ru: 0.7500 0.5185 0.1814
Ac: 0.2500 0.6872 0.1916
Ac: 0.7500 0.1872 0.3084
Ac: 0.7500 0.8803 0.4352
Ac: 0.7500 0.9373 0.1211
Ac: 0.7500 0.3128 0.8084
Ac: 0.2500 0.3803 0.0648
Ac: 0.2500 0.1197 0.5648
Ac: 0.2500 0.0627 0.8789
Ac: 0.2500 0.8128 0.6916
Ac: 0.7500 0.5627 0.6211
Ac: 0.2500 0.4373 0.3789
Ac: 0.7500 0.6197 0.9352
Zn: 0.7500 0.8730 0.8680
Zn: 0.2500 0.3730 0.6320
Zn: 0.7500 0.6270 0.3680
Zn: 0.2500 0.1270 0.1320



A relaxed Sm3H12Ru5 crystal, computed with GGA-PBE.

Properties
VASP energy: -5.25 eV/atom

abc: 10.0636 10.0636 10.0636
angles: 109.47 109.47 109.47
Fractional positions:
Ru: 0.7500 0.6250 0.3750
Ru: 0.8750 0.6250 0.7500
Ru: 0.0000 0.5000 0.0000
Ru: 0.5000 0.0000 0.0000
Ru: 0.7500 0.1250 0.8750
Ru: 0.6250 0.7500 0.8750
Ru: 0.0000 0.5000 0.5000
Ru: 0.2500 0.8750 0.1250
Ru: 0.0000 0.0000 0.5000
Ru: 0.5000 0.5000 0.5000
Ru: 0.2500 0.3750 0.6250
Ru: 0.1250 0.7500 0.3750
Ru: 0.6250 0.8750 0.2500
Ru: 0.5000 0.5000 0.0000
Ru: 0.8750 0.2500 0.6250
Ru: 0.3750 0.2500 0.1250
Ru: 0.3750 0.1250 0.7500
Ru: 0.0000 0.0000 0.0000
Ru: 0.5000 0.0000 0.5000
Ru: 0.1250 0.3750 0.2500
H: 0.1010 0.4088 0.0847
H: 0.5847 0.6010 0.4088
H: 0.8078 0.3241 0.9088
H: 0.9836 0.3990 0.3078
H: 0.8078 0.4836 0.3990
H: 0.0847 0.1759 0.4836
H: 0.5164 0.3241 0.9153
H: 0.9088 0.8241 0.8078
H: 0.3990 0.9836 0.8078
H: 0.4088 0.3078 0.3241
H: 0.6922 0.5912 0.1759
H: 0.0912 0.9153 0.3990
H: 0.6759 0.4836 0.5847
H: 0.5164 0.1922 0.1010
H: 0.8241 0.9088 0.3078
H: 0.1922 0.5164 0.6010
H: 0.3241 0.5164 0.4153
H: 0.6010 0.5847 0.9088
H: 0.6010 0.0164 0.1922
H: 0.3990 0.4153 0.0912
H: 0.5912 0.6922 0.6759
H: 0.4153 0.0164 0.3241
H: 0.5847 0.9836 0.6759
H: 0.8990 0.3078 0.4836
H: 0.9153 0.8241 0.5164
H: 0.4836 0.8078 0.8990
H: 0.4836 0.6759 0.0847
H: 0.1759 0.0912 0.6922
H: 0.0847 0.9088 0.1010
H: 0.9836 0.5847 0.1759
H: 0.3241 0.8078 0.4088
H: 0.6759 0.1922 0.5912
H: 0.8241 0.9153 0.0164
H: 0.3078 0.8990 0.9836
H: 0.6922 0.1010 0.0164
H: 0.9088 0.0847 0.6010
H: 0.4153 0.3990 0.5912
H: 0.1759 0.0847 0.9836
H: 0.5912 0.8990 0.4153
H: 0.1922 0.6759 0.0912
H: 0.0164 0.6010 0.6922
H: 0.1010 0.6922 0.5164
H: 0.4088 0.1010 0.5847
H: 0.0164 0.4153 0.8241
H: 0.8990 0.5912 0.9153
H: 0.0912 0.1759 0.1922
H: 0.3078 0.4088 0.8241
H: 0.9153 0.0912 0.8990
Sm: 0.8750 0.7500 0.1250
Sm: 0.7500 0.3750 0.1250
Sm: 0.3750 0.7500 0.6250
Sm: 0.8750 0.1250 0.2500
Sm: 0.7500 0.8750 0.6250
Sm: 0.2500 0.6250 0.8750
Sm: 0.1250 0.8750 0.7500
Sm: 0.1250 0.2500 0.8750
Sm: 0.3750 0.6250 0.2500
Sm: 0.6250 0.2500 0.3750
Sm: 0.2500 0.1250 0.3750
Sm: 0.6250 0.3750 0.7500



A relaxed PrRu2C crystal, computed with GGA-PBE.

Properties
VASP energy: -8.00 eV/atom
Offset from the most stable computed form: 0 meV per atom
Formation enthalpy at 0 K: 137 meV per atom

abc: 3.2120 5.1127 4.7497
angles: 122.56 90.01 90.00
Fractional positions:
Pr: 0.5000 0.5000 0.0000
C: 0.5000 0.0000 0.0000
Ru: 0.9999 0.8389 0.6778
Ru: 0.0001 0.1611 0.3222



A relaxed Pu2GeSb4 crystal, computed with GGA-PBE.

Properties
VASP energy: -7.46 eV/atom
Formation energy (no corrections): -350 meV/atom

abc: 4.4775 4.4775 9.2984
angles: 90.00 90.00 90.00
Fractional positions:
Pu: 0.0000 0.5000 0.2376
Pu: 0.5000 0.0000 0.7624
Ge: 0.5000 0.5000 0.0000
Sb: 0.0000 0.5000 0.8193
Sb: 0.5000 0.0000 0.1807
Sb: 0.0000 0.0000 0.5000
Sb: 0.5000 0.5000 0.5000



One value per record, in order, for size of the total moment: 0.00 0.00 0.00 10.95 μB/f.u..